VASP calculation (GGA-PBE) on a relaxed W3C crystal.

Computed properties:
SG	Fm-3m, No. 225
excess energy over the best structure of this formula in the dataset	1.324	eV per atom
electronic total energy	-10.5528	eV/atom
magnetization	0.00	Bohr magnetons per cell
density of states at the Fermi level	1.132	states/eV/atom

Cell lengths 4.3280, 4.3280, 4.3280 Å; angles 60.00, 60.00, 60.00 degrees
Last column: nearest neighbours and their distance in Å.
Sites, in units of the cell vectors:
1 W 0.0000 0.0000 0.0000  8 W 2.65
2 W 0.2500 0.2500 0.2500  4 W 2.65, 4 C 2.65
3 W 0.7500 0.7500 0.7500  4 W 2.65, 4 C 2.65
4 C 0.5000 0.5000 0.5000  8 W 2.65



VASP calculation (GGA-PBE) on a relaxed WC crystal.

Computed properties:
SG	P2_13, No. 198
excess energy over the best structure of this formula in the dataset	0.927	eV per atom
electronic total energy	-10.2898	eV/atom
magnetization	0.00	Bohr magnetons per cell
density of states at the Fermi level	0.263	states/eV/atom

Cell lengths 4.4155, 4.4155, 4.4155 Å; angles 90.00, 90.00, 90.00 degrees
Last column: nearest neighbours and their distance in Å.
Sites, in units of the cell vectors:
1 W 0.1133 0.1133 0.1133  7 C 2.22-2.46
2 W 0.3867 0.8867 0.6133  7 C 2.22-2.46
3 W 0.6133 0.3867 0.8867  7 C 2.22-2.46
4 W 0.8867 0.6133 0.3867  7 C 2.22-2.46
5 C 0.0963 0.5963 0.9037  7 W 2.22-2.46
6 C 0.4037 0.4037 0.4037  7 W 2.22-2.46
7 C 0.5963 0.9037 0.0963  7 W 2.22-2.46
8 C 0.9037 0.0963 0.5963  7 W 2.22-2.46



VASP calculation (GGA-PBE) on a relaxed W3C crystal.

Computed properties:
SG	R-3m, No. 166
excess energy over the best structure of this formula in the dataset	1.178	eV per atom
electronic total energy	-10.6991	eV/atom
magnetization	0.00	Bohr magnetons per cell
density of states at the Fermi level	0.521	states/eV/atom

Cell lengths 4.9759, 4.9759, 4.9759 Å; angles 116.61, 116.61, 116.61 degrees
Last column: nearest neighbours and their distance in Å.
Sites, in units of the cell vectors:
1 W 0.0000 0.5000 0.5000  6 W 2.61-2.78, 2 C 2.61
2 W 0.5000 0.0000 0.5000  2 C 2.61, 6 W 2.61-2.78
3 W 0.5000 0.5000 0.0000  6 W 2.61-2.78, 2 C 2.61
4 C 0.0000 0.0000 0.0000  6 W 2.61, 2 C 2.78



VASP calculation (GGA-PBE) on a relaxed WC3 crystal.

Computed properties:
SG	Pnma, No. 62
excess energy over the best structure of this formula in the dataset	0.296	eV per atom
electronic total energy	-8.8985	eV/atom
magnetization	0.00	Bohr magnetons per cell
density of states at the Fermi level	0.332	states/eV/atom

Cell lengths 5.9008, 5.8400, 4.0656 Å; angles 90.00, 90.00, 90.00 degrees
Last column: nearest neighbours and their distance in Å.
Sites, in units of the cell vectors:
1 W 0.0456 0.2500 0.1527  7 C 2.13-2.32
2 W 0.4544 0.7500 0.6527  7 C 2.13-2.32
3 W 0.5456 0.2500 0.3473  7 C 2.13-2.32
4 W 0.9544 0.7500 0.8473  7 C 2.13-2.32
5 C 0.1196 0.7500 0.3642  2 C 1.48
6 C 0.2332 0.5243 0.3655  1 C 1.48
7 C 0.2332 0.9757 0.3655  1 C 1.48
8 C 0.2668 0.0243 0.8655  1 C 1.48
9 C 0.2668 0.4757 0.8655  1 C 1.48
10 C 0.3804 0.2500 0.8642  2 C 1.48
11 C 0.6196 0.7500 0.1358  2 C 1.48
12 C 0.7332 0.5243 0.1345  1 C 1.48
13 C 0.7332 0.9757 0.1345  1 C 1.48
14 C 0.7668 0.0243 0.6345  1 C 1.48
15 C 0.7668 0.4757 0.6345  1 C 1.48
16 C 0.8804 0.2500 0.6358  2 C 1.48



VASP calculation (GGA-PBE) on a relaxed WC crystal.

Computed properties:
SG	P6_3/mmc, No. 194
excess energy over the best structure of this formula in the dataset	0.348	eV per atom
electronic total energy	-10.8685	eV/atom
magnetization	0.00	Bohr magnetons per cell
density of states at the Fermi level	0.714	states/eV/atom

Cell lengths 3.6222, 3.6222, 4.3216 Å; angles 90.00, 90.00, 120.00 degrees
Last column: nearest neighbours and their distance in Å.
Sites, in units of the cell vectors:
1 W 0.3333 0.6667 0.2500  5 C 2.09-2.16
2 W 0.6667 0.3333 0.7500  5 C 2.09-2.16
3 C 0.3333 0.6667 0.7500  5 W 2.09-2.16
4 C 0.6667 0.3333 0.2500  5 W 2.09-2.16



VASP calculation (GGA-PBE) on a relaxed W7C6 crystal.

Computed properties:
SG	R-3m, No. 166
electronic total energy	-9.8267	eV/atom
magnetization	0.00	Bohr magnetons per cell
density of states at the Fermi level	0.590	states/eV/atom

Cell lengths 7.6075, 7.6075, 7.6075 Å; angles 42.03, 42.03, 42.03 degrees
Last column: nearest neighbours and their distance in Å.
Sites, in units of the cell vectors:
1 W 0.0000 0.0000 0.0000  6 W 2.52
2 W 0.0758 0.0758 0.5668  3 C 2.17-2.25
3 W 0.0758 0.5668 0.0758  3 C 2.17-2.25
4 W 0.4332 0.9242 0.9242  3 C 2.17-2.25
5 W 0.5668 0.0758 0.0758  3 C 2.17-2.25
6 W 0.9242 0.4332 0.9242  3 C 2.17-2.25
7 W 0.9242 0.9242 0.4332  3 C 2.17-2.25
8 C 0.1661 0.1661 0.1661  6 W 2.17-2.20
9 C 0.3182 0.3182 0.3182  1 C 1.46
10 C 0.3885 0.3885 0.3885  1 C 1.46
11 C 0.6115 0.6115 0.6115  1 C 1.46
12 C 0.6818 0.6818 0.6818  1 C 1.46
13 C 0.8339 0.8339 0.8339  6 W 2.17-2.20



VASP calculation (GGA-PBE) on a relaxed W6C7 crystal.

Computed properties:
SG	R-3m, No. 166
electronic total energy	-9.8931	eV/atom
magnetization	0.00	Bohr magnetons per cell
density of states at the Fermi level	0.339	states/eV/atom

Cell lengths 9.2098, 9.2098, 9.2098 Å; angles 26.85, 26.85, 26.85 degrees
Last column: nearest neighbours and their distance in Å.
Sites, in units of the cell vectors:
1 W 0.0805 0.0805 0.0805  6 C 2.18
2 W 0.1882 0.1882 0.1882  6 C 2.51-2.53, 3 W 2.72
3 W 0.3194 0.3194 0.3194  3 C 2.18
4 W 0.6806 0.6806 0.6806  3 C 2.18
5 W 0.8118 0.8118 0.8118  6 C 2.51-2.53, 3 W 2.72
6 W 0.9195 0.9195 0.9195  6 C 2.18
7 C 0.1582 0.5274 0.5274  2 C 1.58
8 C 0.4726 0.4726 0.8418  2 C 1.58
9 C 0.4726 0.8418 0.4726  2 C 1.58
10 C 0.5000 0.5000 0.5000  6 W 2.53, 6 C 2.70
11 C 0.5274 0.1582 0.5274  2 C 1.58
12 C 0.5274 0.5274 0.1582  2 C 1.58
13 C 0.8418 0.4726 0.4726  2 C 1.58



VASP calculation (GGA-PBE) on a relaxed WC crystal.

Computed properties:
SG	Amm2, No. 38
excess energy over the best structure of this formula in the dataset	0.576	eV per atom
electronic total energy	-10.6400	eV/atom
magnetization	0.00	Bohr magnetons per cell
density of states at the Fermi level	0.782	states/eV/atom

Cell lengths 2.9993, 5.2633, 5.2633 Å; angles 110.19, 90.00, 90.00 degrees
Last column: nearest neighbours and their distance in Å.
Sites, in units of the cell vectors:
1 W 0.0000 0.0000 0.0000  4 C 2.18-2.20
2 W 0.5000 0.5117 0.9704  5 C 1.98-2.14
3 W 0.5000 0.9704 0.5117  5 C 1.98-2.14
4 C 0.0000 0.2428 0.7330  5 W 2.12-2.20
5 C 0.0000 0.7330 0.2428  5 W 2.12-2.20
6 C 0.5000 0.7383 0.7383  4 W 1.98-2.18



VASP calculation (GGA-PBE) on a relaxed W5C3 crystal.

Computed properties:
SG	I4cm, No. 108
excess energy over the best structure of this formula in the dataset	0.000	eV per atom
electronic total energy	-11.1421	eV/atom
magnetization	0.00	Bohr magnetons per cell
density of states at the Fermi level	0.222	states/eV/atom

Cell lengths 6.6066, 6.6066, 6.6066 Å; angles 99.12, 99.12, 133.09 degrees
Last column: nearest neighbours and their distance in Å.
Sites, in units of the cell vectors:
1 W 0.0000 0.5000 0.5000  2 C 2.27
2 W 0.1453 0.4235 0.1476  5 C 2.28-2.43
3 W 0.2759 0.9977 0.8524  5 C 2.28-2.43
4 W 0.4235 0.2759 0.2781  5 C 2.28-2.43
5 W 0.4977 0.7759 0.8524  5 C 2.28-2.43
6 W 0.5000 0.0000 0.5000  2 C 2.27
7 W 0.6453 0.4977 0.7219  5 C 2.28-2.43
8 W 0.7759 0.9235 0.2781  5 C 2.28-2.43
9 W 0.9235 0.6453 0.1476  5 C 2.28-2.43
10 W 0.9977 0.1453 0.7219  5 C 2.28-2.43
11 C 0.2526 0.3830 0.5000  7 W 2.27-2.43
12 C 0.3830 0.8830 0.1305  7 W 2.27-2.43
13 C 0.4713 0.4713 0.0000  8 W 2.29-2.35
14 C 0.7526 0.2526 0.8695  7 W 2.27-2.43
15 C 0.8830 0.7526 0.5000  7 W 2.27-2.43
16 C 0.9713 0.9713 0.0000  8 W 2.29-2.35



VASP calculation (GGA-PBE) on a relaxed WC crystal.

Computed properties:
SG	P-6m2, No. 187
excess energy over the best structure of this formula in the dataset	0.000	eV per atom
electronic total energy	-11.2163	eV/atom
magnetization	0.00	Bohr magnetons per cell
density of states at the Fermi level	0.112	states/eV/atom

Cell lengths 2.9289, 2.9289, 2.8506 Å; angles 90.00, 90.00, 120.00 degrees
Last column: nearest neighbours and their distance in Å.
Sites, in units of the cell vectors:
1 W 0.0000 0.0000 0.0000  6 C 2.21
2 C 0.3333 0.6667 0.5000  6 W 2.21



VASP calculation (GGA-PBE) on a relaxed W3C crystal.

Computed properties:
SG	Pnma, No. 62
excess energy over the best structure of this formula in the dataset	0.014	eV per atom
electronic total energy	-11.8631	eV/atom
magnetization	0.00	Bohr magnetons per cell
density of states at the Fermi level	0.341	states/eV/atom

Cell lengths 5.5696, 7.6037, 5.0105 Å; angles 90.00, 90.00, 90.00 degrees
Last column: nearest neighbours and their distance in Å.
Sites, in units of the cell vectors:
1 W 0.0383 0.2500 0.1703  2 C 2.18-2.24
2 W 0.1829 0.0697 0.6688  2 C 2.20-2.24
3 W 0.1829 0.4303 0.6688  2 C 2.20-2.24
4 W 0.3171 0.5697 0.1688  2 C 2.20-2.24
5 W 0.3171 0.9303 0.1688  2 C 2.20-2.24
6 W 0.4617 0.7500 0.6703  2 C 2.18-2.24
7 W 0.5383 0.2500 0.3297  2 C 2.18-2.24
8 W 0.6829 0.0697 0.8312  2 C 2.20-2.24
9 W 0.6829 0.4303 0.8312  2 C 2.20-2.24
10 W 0.8171 0.5697 0.3312  2 C 2.20-2.24
11 W 0.8171 0.9303 0.3312  2 C 2.20-2.24
12 W 0.9617 0.7500 0.8297  2 C 2.18-2.24
13 C 0.1212 0.7500 0.4332  6 W 2.18-2.24
14 C 0.3788 0.2500 0.9332  6 W 2.18-2.24
15 C 0.6212 0.7500 0.0668  6 W 2.18-2.24
16 C 0.8788 0.2500 0.5668  6 W 2.18-2.24



VASP calculation (GGA-PBE) on a relaxed YWC2 crystal.

Computed properties:
SG	Pnma, No. 62
excess energy over the best structure of this formula in the dataset	0.000	eV per atom
electronic total energy	-9.7389	eV/atom
magnetization	0.00	Bohr magnetons per cell
density of states at the Fermi level	0.337	states/eV/atom

Cell lengths 5.7348, 3.3934, 10.8219 Å; angles 90.00, 90.00, 90.00 degrees
Last column: nearest neighbours and their distance in Å.
Sites, in units of the cell vectors:
1 Y 0.0858 0.2500 0.1371  7 C 2.46-2.62
2 Y 0.4142 0.7500 0.6371  7 C 2.46-2.62
3 Y 0.5858 0.2500 0.3629  7 C 2.46-2.62
4 Y 0.9142 0.7500 0.8629  7 C 2.46-2.62
5 W 0.0968 0.7500 0.3896  4 C 2.03-2.13
6 W 0.4032 0.2500 0.8896  4 C 2.03-2.13
7 W 0.5968 0.7500 0.1104  4 C 2.03-2.13
8 W 0.9032 0.2500 0.6104  4 C 2.03-2.13
9 C 0.1598 0.2500 0.7528  2 W 2.03-2.13
10 C 0.2220 0.2500 0.4837  3 W 2.11-2.29
11 C 0.2780 0.7500 0.9837  3 W 2.11-2.29
12 C 0.3402 0.7500 0.2528  2 W 2.03-2.13
13 C 0.6598 0.2500 0.7472  2 W 2.03-2.13
14 C 0.7220 0.2500 0.0163  3 W 2.11-2.29
15 C 0.7780 0.7500 0.5163  3 W 2.11-2.29
16 C 0.8402 0.7500 0.2472  2 W 2.03-2.13



- Which formula does entry 6 have?
  W7C6



- What is the formula in the eleventh record?
  W3C